Entry 1:
4
Lattice="-2.904 -1.010 -1.465 -1.001 -1.391 2.944 -2.430 4.857 1.469" Properties=species:S:1:pos:R:3 comment="GGA-PBE ZrCoPt2, optimized geometry" ef_ev_per_atom=-0.507 sg="P4mm, No. 99" magmom_total_mub_per_cell=1.6 pbc="T T T"
Co -3.843 2.577 1.881
Pt -2.356 4.709 1.424
Pt -2.568 0.029 1.111
Zr -1.214 2.426 0.734

Entry 2:
3
Lattice="-3.434 -2.759 0.514 4.026 -1.618 -0.920 0.561 -0.181 2.773" Properties=species:S:1:pos:R:3 comment="GGA-PBE ZrCoPt, optimized geometry" ef_ev_per_atom=-0.352 sg="P3m1, No. 156" magmom_total_mub_per_cell=1.1 pbc="T T T"
Co 0.557 -0.180 2.753
Pt -0.781 -2.432 0.860
Zr 1.938 -2.127 1.529

Entry 3:
5
Lattice="4.541 0.000 0.000 0.000 4.541 0.000 0.000 0.000 4.541" Properties=species:S:1:pos:R:3 comment="GGA-PBE ZrCo3Pt, optimized geometry" ef_ev_per_atom=0.931 sg="Pm-3m, No. 221" e_above_lowest_polymorph_ev_per_fu=0.000 magmom_total_mub_per_cell=5.4 pbc="T T T"
Co 0.000 2.271 0.000
Co 0.000 0.000 2.271
Co 2.271 0.000 0.000
Zr 2.271 2.271 2.271
Pt 0.000 0.000 0.000